Hf3NiRu | PBE | optimized geometry

Calculated values
Formation energy from the elements (eV/f.u.): 2.17

Unit cell a=4.700 b=4.700 c=4.700 alpha=90.00 beta=90.00 gamma=90.00
Positions (direct):
Hf  0.000  0.500  0.000
Hf  0.500  0.000  0.000
Hf  0.000  0.000  0.500
Ru  0.500  0.500  0.500
Ni  0.000  0.000  0.000